[1]
Entry from the Alexandria database: a relaxed structure of Na4Ni3O7 (PBEsol).

```
Na4Ni3O7
1.0
3.917 2.261 5.165
-3.917 2.261 5.165
0.000 -4.523 5.165
Na Ni O
8 6 14
direct
0.000 0.000 0.000
0.075 0.784 0.658
0.216 0.342 0.925
0.342 0.925 0.216
0.500 0.500 0.500
0.658 0.075 0.784
0.784 0.658 0.075
0.925 0.216 0.342
0.144 0.569 0.289
0.289 0.144 0.569
0.431 0.711 0.856
0.569 0.289 0.144
0.711 0.856 0.431
0.856 0.431 0.711
0.008 0.851 0.338
0.149 0.662 0.992
0.160 0.451 0.582
0.273 0.273 0.273
0.338 0.008 0.851
0.418 0.840 0.549
0.451 0.582 0.160
0.549 0.418 0.840
0.582 0.160 0.451
0.662 0.992 0.149
0.727 0.727 0.727
0.840 0.549 0.418
0.851 0.338 0.008
0.992 0.149 0.662
```

As for the formation energy (no corrections): -1148 meV per atom. For the mass density, the calculation gives 4598 kg/m³. The calculation puts the total energy at -153.8 eV per cell.

=====

[2]
Entry from the Alexandria database: a relaxed structure of Na3Ni7O12 (PBEsol).

```
Na3Ni7O12
1.0
5.467 0.000 0.000
-1.431 5.543 0.000
-1.131 -1.705 7.310
Na Ni O
3 7 12
direct
0.000 0.000 0.000
0.003 0.204 0.638
0.994 0.500 0.989
0.486 0.085 0.828
0.488 0.762 0.494
0.489 0.261 0.491
0.493 0.591 0.826
0.510 0.432 0.167
0.513 0.937 0.169
0.995 0.754 0.351
0.257 0.953 0.554
0.286 0.685 0.254
0.308 0.483 0.561
0.315 0.320 0.920
0.324 0.820 0.928
0.327 0.167 0.244
0.661 0.348 0.735
0.668 0.868 0.738
0.671 0.036 0.417
0.701 0.568 0.411
0.708 0.196 0.080
0.722 0.715 0.118
```

As for the formation energy (no corrections): -966 meV per atom. For the mass density, the calculation gives 5036 kg/m³. The calculation puts the total energy at -131.5 eV per cell.

=====

[3]
Entry from the Alexandria database: a relaxed structure of Na2Ni2O5 (PBEsol).

```
Na2Ni2O5
1.0
4.930 0.000 0.000
-1.742 6.152 0.000
-0.693 -2.753 6.357
Na Ni O
4 4 10
direct
0.000 0.000 0.000
0.098 0.388 0.409
0.336 0.284 0.808
0.685 0.586 0.611
0.132 0.887 0.398
0.537 0.695 0.204
0.730 0.089 0.599
0.937 0.492 0.004
0.231 0.795 0.132
0.237 0.410 0.112
0.429 0.176 0.495
0.436 0.784 0.471
0.667 0.633 0.955
0.698 0.175 0.878
0.833 0.995 0.327
0.839 0.586 0.274
0.979 0.402 0.723
0.998 0.945 0.645
```

As for the formation energy (no corrections): -1065 meV per atom. For the mass density, the calculation gives 4192 kg/m³. The calculation puts the total energy at -101.9 eV per cell.